No. 1
First-principles (PBE) data for La2YHg after structural relaxation, as listed in Alexandria.

## Properties
ΔE_f = -16 kJ per mole of atoms

a = 11.061 Å, b = 11.061 Å, c = 11.061 Å
α = 19.48°, β = 19.48°, γ = 19.48°
Fractional coordinates of all 4 atoms:
La 0.000 0.000 0.000
La 0.241 0.241 0.241
Y 0.483 0.483 0.483
Hg 0.746 0.746 0.746

---

No. 2
First-principles (PBE) data for LaY2Hg after structural relaxation, as listed in Alexandria.

## Properties
ΔE_f = -21 kJ per mole of atoms

a = 6.747 Å, b = 6.747 Å, c = 5.399 Å
α = 113.58°, β = 113.58°, γ = 33.30°
Fractional coordinates of all 4 atoms:
La 0.000 0.000 0.000
Y 0.566 0.566 0.566
Y 0.783 0.783 0.284
Hg 0.270 0.270 0.772

---

no.,M_tot (μB/f.u.),ρ (kg/m³)
1,0.00,7160
2,0.00,7007